Below is BaSr6 after structural relaxation, with properties calculated at the PBE-GGA level.

Space group: No. 148

a = 4.132 Å, b = 10.431 Å, c = 10.431 Å
α = 118.28°, β = 97.59°, γ = 97.59°
Atoms (fractional coordinates):
1 Ba 0.500 0.000 0.000
2 Sr 0.646 0.570 0.857
3 Sr 0.789 0.143 0.713
4 Sr 0.924 0.713 0.570
5 Sr 0.076 0.287 0.430
6 Sr 0.211 0.857 0.287
7 Sr 0.354 0.430 0.143



Below is Ba2Sr after structural relaxation, with properties calculated at the PBE-GGA level.

Space group: No. 12

a = 8.468 Å, b = 8.468 Å, c = 10.487 Å
α = 74.93°, β = 74.93°, γ = 30.05°
Atoms (fractional coordinates):
1 Ba 0.001 0.001 0.997
2 Ba 0.332 0.332 0.334
3 Ba 0.613 0.613 0.277
4 Ba 0.944 0.944 0.614
5 Sr 0.668 0.668 0.668
6 Sr 0.276 0.276 0.943



Below is Ba2Sr after structural relaxation, with properties calculated at the PBE-GGA level.

Space group: No. 140

a = 8.049 Å, b = 8.049 Å, c = 8.049 Å
α = 103.84°, β = 103.84°, γ = 121.45°
Atoms (fractional coordinates):
1 Ba 0.658 0.842 0.500
2 Ba 0.342 0.158 0.500
3 Ba 0.842 0.342 0.185
4 Ba 0.158 0.658 0.815
5 Sr 0.250 0.250 0.000
6 Sr 0.750 0.750 0.000



Below is BaSr3 after structural relaxation, with properties calculated at the PBE-GGA level.

Space group: No. 47

a = 4.345 Å, b = 6.025 Å, c = 8.683 Å
α = 90.00°, β = 90.00°, γ = 90.00°
Atoms (fractional coordinates):
1 Sr 0.500 0.500 0.744
2 Sr 0.000 0.000 0.500
3 Sr 0.500 0.500 0.256
4 Ba 0.000 0.000 0.000



Below is BaSr3 after structural relaxation, with properties calculated at the PBE-GGA level.

Space group: No. 71

a = 7.997 Å, b = 7.997 Å, c = 7.997 Å
α = 145.13°, β = 129.49°, γ = 62.84°
Atoms (fractional coordinates):
1 Sr 0.247 0.247 0.000
2 Sr 0.753 0.753 0.000
3 Sr 0.000 0.500 0.500
4 Ba 0.500 0.000 0.500



Below is Ba5Sr4 after structural relaxation, with properties calculated at the PBE-GGA level.

Space group: No. 193

a = 12.177 Å, b = 12.177 Å, c = 8.340 Å
α = 90.00°, β = 90.00°, γ = 120.00°
Atoms (fractional coordinates):
1 Ba 0.000 0.663 0.250
2 Ba 0.337 0.337 0.250
3 Ba 0.663 0.000 0.250
4 Ba 0.000 0.337 0.750
5 Ba 0.663 0.663 0.750
6 Ba 0.337 0.000 0.750
7 Ba 0.667 0.333 0.000
8 Ba 0.333 0.667 0.500
9 Ba 0.333 0.667 0.000
10 Ba 0.667 0.333 0.500
11 Sr 0.000 0.000 0.000
12 Sr 0.000 0.000 0.500
13 Sr 0.000 0.327 0.250
14 Sr 0.673 0.673 0.250
15 Sr 0.327 0.000 0.250
16 Sr 0.000 0.673 0.750
17 Sr 0.327 0.327 0.750
18 Sr 0.673 0.000 0.750



Ordered spin magnetization results: 0.00, 0.00, 0.00, 0.00, 0.00, 0.01; unit μB/f.u..
Ordered E_form results: 0.003, 0.015, 0.117, 0.003, 0.004, 0.048; unit eV per atom.